ScGaAgSn | Alexandria via LeMat-Bulk | PBE | relaxed; distance to the lowest polymorph of the same formula = 178.8 meV per atom; Fermi-level density of states = 1.501 states/eV/cell; DFT total energy = -4.25 eV/atom; calculated formation energy = -0.199 eV/atom
1.0
-1.053 -4.716 -0.688
-0.725 -2.924 3.840
-4.480 -1.669 0.985
Ga Ag Sc Sn
1 1 1 1
Cartesian
-4.694 -6.981 3.104 Ga
-3.129 -4.654 2.069 Ag
0.000 0.000 0.000 Sc
-1.565 -2.327 1.035 Sn

---

SrScGaAg | Alexandria via LeMat-Bulk | PBE | relaxed; Fermi-level density of states = 4.310 states/eV/cell; DFT total energy = -3.71 eV/atom; calculated formation energy = -0.232 eV/atom
1.0
5.164 0.000 0.000
2.582 4.472 0.000
2.582 1.491 4.216
Sc Ag Ga Sr
1 1 1 1
Cartesian
0.000 0.000 0.000 Sc
2.582 1.491 1.054 Ag
7.746 4.472 3.162 Ga
5.164 2.981 2.108 Sr

---

TbSc2Ga2Ag2 | Alexandria via LeMat-Bulk | PBE | relaxed; Fermi-level density of states = 3.438 states/eV/cell; DFT total energy = -4.52 eV/atom; calculated formation energy = -0.372 eV/atom
1.0
-2.858 3.178 -1.518
-1.725 -0.313 -4.183
-8.037 -3.460 1.115
Ag Tb Ga Sc
2 1 2 2
Cartesian
-8.078 -1.496 -1.474 Ag
-4.543 0.901 -3.112 Ag
0.000 0.000 0.000 Tb
-3.137 -0.136 -1.155 Ga
-9.484 -0.459 -3.431 Ga
-5.507 -1.744 -0.057 Sc
-7.114 1.149 -4.529 Sc